Entry from the Alexandria database: LiGdAgRh after structural relaxation (PBE).

Summary:
- E_form (meV per atom) = -314

Unit cell a=4.771 b=4.771 c=4.771 alpha=60.00 beta=60.00 gamma=60.00
Positions (direct):
Rh 0.000 0.000 0.000
Gd 0.750 0.750 0.750
Li 0.250 0.250 0.250
Ag 0.500 0.500 0.500